1.
Computed, not measured: an optimized crystal structure of CsV3C at the PBE level of DFT.

The structure belongs to space group Pm-3m (No. 221); the cell edges are 4.233, 4.233 and 4.233 Å and the angles 90.00°, 90.00° and 90.00°. Symmetry generates all atoms from Cs at (0.000, 0.000, 0.000), V at (0.000, 0.500, 0.500) and C at (0.500, 0.500, 0.500).

The formation energy from the elements comes out at 5.83 eV per formula unit.



2.
Computed, not measured: an optimized crystal structure of CsVC3 at the PBE level of DFT.

The structure belongs to space group Pm-3m (No. 221); the cell edges are 4.181, 4.181 and 4.181 Å and the angles 90.00°, 90.00° and 90.00°. Symmetry generates all atoms from Cs at (0.000, 0.000, 0.000), V at (0.500, 0.500, 0.500) and C at (0.000, 0.500, 0.500).

The formation energy from the elements comes out at 8.89 eV per formula unit.



Which of these has the highest formation energy from the elements? CsVC3



Copy entry 2 word for word.
Computed, not measured: an optimized crystal structure of CsVC3 at the PBE level of DFT.

The structure belongs to space group Pm-3m (No. 221); the cell edges are 4.181, 4.181 and 4.181 Å and the angles 90.00°, 90.00° and 90.00°. Symmetry generates all atoms from Cs at (0.000, 0.000, 0.000), V at (0.500, 0.500, 0.500) and C at (0.000, 0.500, 0.500).

The formation energy from the elements comes out at 8.89 eV per formula unit.



Which value of formation energy from the elements does entry 1 give? 5.83 eV per formula unit



What is the formula in the first record? CsV3C